(1)
The following is a PBE-GGA calculation of NbCoSn2 after structural relaxation, from Alexandria.

As for the space group: R-3m. Its crystal system is trigonal. As for the excess energy over the best structure of this formula in the dataset: 0.117 eV/atom. As for the formation energy: 0.402 eV/atom.

a = 9.8243 Å, b = 9.8243 Å, c = 9.8243 Å
α = 18.09°, β = 18.09°, γ = 18.09°
Closest atoms and distances in Å follow each position.
Fractional coordinates of all 4 atoms:
1 Nb 0.0000 0.0000 0.0000  2 Sn 2.88, 6 Nb 3.09
2 Co 0.5000 0.5000 0.5000  6 Sn 2.64
3 Sn 0.0994 0.0994 0.0994  3 Co 2.64, 1 Nb 2.88
4 Sn 0.9006 0.9006 0.9006  3 Co 2.64, 1 Nb 2.88

***

(2)
The following is a PBE-GGA calculation of Zn2GaCo after structural relaxation, from Alexandria.

As for the space group: I-42d. Its crystal system is tetragonal. As for the formation energy: 0.234 eV/atom.

a = 5.5960 Å, b = 5.5960 Å, c = 5.5960 Å
α = 100.91°, β = 100.91°, γ = 128.41°
Closest atoms and distances in Å follow each position.
Fractional coordinates of all 8 atoms:
1 Zn 0.0882 0.6250 0.9632  2 Co 2.42, 2 Zn 2.49
2 Zn 0.3750 0.3382 0.4632  2 Co 2.42, 2 Zn 2.49
3 Zn 0.6618 0.1250 0.0368  2 Co 2.42, 2 Zn 2.49
4 Zn 0.8750 0.9118 0.5368  2 Co 2.42, 2 Zn 2.49
5 Ga 0.2500 0.7500 0.5000  2 Co 2.44
6 Ga 0.5000 0.5000 0.0000  2 Co 2.44
7 Co 0.0000 0.0000 0.0000  4 Zn 2.42, 2 Ga 2.44
8 Co 0.7500 0.2500 0.5000  4 Zn 2.42, 2 Ga 2.44

***

(3)
The following is a PBE-GGA calculation of SrAl3Tc after structural relaxation, from Alexandria.

As for the space group: P4/nmm. Its crystal system is tetragonal. As for the excess energy over the best structure of this formula in the dataset: 0.019 eV/atom. As for the formation energy: -0.303 eV/atom.

a = 4.5396 Å, b = 4.5396 Å, c = 10.3362 Å
α = 90.00°, β = 90.00°, γ = 90.00°
Closest atoms and distances in Å follow each position.
Fractional coordinates of all 10 atoms:
1 Sr 0.2500 0.2500 0.1232  9 Al 3.36-3.54
2 Sr 0.7500 0.7500 0.8768  9 Al 3.36-3.54
3 Al 0.2500 0.2500 0.7809  4 Al 2.77, 1 Tc 2.77
4 Al 0.2500 0.7500 0.3720  4 Tc 2.56-2.70, 3 Al 2.65-2.77
5 Al 0.2500 0.7500 0.6280  4 Tc 2.56-2.70, 3 Al 2.65-2.77
6 Al 0.7500 0.2500 0.3720  4 Tc 2.56-2.70, 3 Al 2.65-2.77
7 Al 0.7500 0.2500 0.6280  4 Tc 2.56-2.70, 3 Al 2.65-2.77
8 Al 0.7500 0.7500 0.2191  4 Al 2.77, 1 Tc 2.77
9 Tc 0.2500 0.2500 0.5129  9 Al 2.56-2.77
10 Tc 0.7500 0.7500 0.4871  9 Al 2.56-2.77

***

(4)
The following is a PBE-GGA calculation of SrSbAu3 after structural relaxation, from Alexandria.

As for the space group: Cmcm. The formation energy (no corrections) is -0.507 eV/atom. Its crystal system is orthorhombic. As for the excess energy over the best structure of this formula in the dataset: 0.000 eV/atom.

a = 6.4382 Å, b = 6.4382 Å, c = 6.8460 Å
α = 90.00°, β = 90.00°, γ = 117.57°
Closest atoms and distances in Å follow each position.
Fractional coordinates of all 10 atoms:
1 Sr 0.2469 0.7531 0.7500  12 Au 3.49-3.79, 5 Sb 3.70-3.90
2 Sr 0.7531 0.2469 0.2500  12 Au 3.49-3.79, 5 Sb 3.70-3.90
3 Sb 0.3988 0.6012 0.2500  5 Au 2.63-2.81
4 Sb 0.6012 0.3988 0.7500  5 Au 2.63-2.81
5 Au 0.1601 0.8399 0.2500  1 Sb 2.63, 4 Au 2.83
6 Au 0.2116 0.2116 0.0000  2 Sb 2.81, 3 Au 2.82-2.83
7 Au 0.2116 0.2116 0.5000  2 Sb 2.81, 3 Au 2.82-2.83
8 Au 0.7884 0.7884 0.0000  2 Sb 2.81, 3 Au 2.82-2.83
9 Au 0.7884 0.7884 0.5000  2 Sb 2.81, 3 Au 2.82-2.83
10 Au 0.8399 0.1601 0.7500  1 Sb 2.63, 4 Au 2.83

***

(5)
The following is a PBE-GGA calculation of SbAs2Br after structural relaxation, from Alexandria.

As for the space group: I-42d. The formation energy (no corrections) is 0.323 eV/atom. Its crystal system is tetragonal. As for the excess energy over the best structure of this formula in the dataset: 0.360 eV/atom.

a = 6.8909 Å, b = 6.8909 Å, c = 6.8909 Å
α = 115.90°, β = 115.90°, γ = 97.26°
Closest atoms and distances in Å follow each position.
Fractional coordinates of all 8 atoms:
1 Sb 0.0000 0.0000 0.0000  4 As 2.71
2 Sb 0.7500 0.2500 0.5000  4 As 2.71
3 As 0.1004 0.6250 0.9754  2 Sb 2.71, 2 Br 2.94
4 As 0.3750 0.3504 0.4754  2 Sb 2.71, 2 Br 2.94
5 As 0.6496 0.1250 0.0246  2 Sb 2.71, 2 Br 2.94
6 As 0.8750 0.8996 0.5246  2 Sb 2.71, 2 Br 2.94
7 Br 0.2500 0.7500 0.5000  4 As 2.94
8 Br 0.5000 0.5000 0.0000  4 As 2.94

***

(6)
The following is a PBE-GGA calculation of Tm5Zn2Pd after structural relaxation, from Alexandria.

As for the space group: I4/mcm. Its crystal system is tetragonal. As for the formation energy: -0.391 eV/atom.

a = 9.0822 Å, b = 9.0822 Å, c = 9.0822 Å
α = 133.69°, β = 133.69°, γ = 67.58°
Closest atoms and distances in Å follow each position.
Fractional coordinates of all 16 atoms:
1 Tm 0.0000 0.0000 0.0000  4 Zn 2.83
2 Tm 0.0169 0.5169 0.8391  2 Pd 3.03, 3 Zn 3.12-3.13, 1 Tm 3.36
3 Tm 0.1778 0.0169 0.5000  2 Pd 3.03, 3 Zn 3.12-3.13, 1 Tm 3.36
4 Tm 0.3222 0.8222 0.8391  2 Pd 3.03, 3 Zn 3.12-3.13, 1 Tm 3.36
5 Tm 0.4831 0.3222 0.5000  2 Pd 3.03, 3 Zn 3.12-3.13, 1 Tm 3.36
6 Tm 0.5000 0.5000 0.0000  4 Zn 2.83
7 Tm 0.5169 0.6778 0.5000  2 Pd 3.03, 3 Zn 3.12-3.13, 1 Tm 3.36
8 Tm 0.6778 0.1778 0.1609  2 Pd 3.03, 3 Zn 3.12-3.13, 1 Tm 3.36
9 Tm 0.8222 0.9831 0.5000  2 Pd 3.03, 3 Zn 3.12-3.13, 1 Tm 3.36
10 Tm 0.9831 0.4831 0.1609  2 Pd 3.03, 3 Zn 3.12-3.13, 1 Tm 3.36
11 Zn 0.1228 0.3772 0.5000  1 Zn 2.48
12 Zn 0.3772 0.8772 0.2544  1 Zn 2.48
13 Zn 0.6228 0.1228 0.7456  1 Zn 2.48
14 Zn 0.8772 0.6228 0.5000  1 Zn 2.48
15 Pd 0.2500 0.2500 0.0000  8 Tm 3.03
16 Pd 0.7500 0.7500 0.0000  8 Tm 3.03

***

(7)
The following is a PBE-GGA calculation of LiTbPuN3 after structural relaxation, from Alexandria.

As for the space group: P2_1/m. The formation energy (no corrections) is -1.011 eV/atom. Its crystal system is monoclinic.

a = 6.8162 Å, b = 3.4257 Å, c = 7.0370 Å
α = 90.00°, β = 102.95°, γ = 90.00°
Closest atoms and distances in Å follow each position.
Fractional coordinates of all 12 atoms:
1 Li 0.0810 0.2500 0.0740  4 N 1.88-2.05
2 Li 0.9190 0.7500 0.9260  4 N 1.88-2.05
3 Tb 0.2852 0.7500 0.8196  3 N 2.34-2.51
4 Tb 0.7148 0.2500 0.1804  3 N 2.34-2.51
5 Pu 0.3216 0.7500 0.3250  2 N 2.04-2.07
6 Pu 0.6784 0.2500 0.6750  2 N 2.04-2.07
7 N 0.0191 0.7500 0.2106  3 Li 1.97-2.05, 1 Pu 2.04
8 N 0.3630 0.2500 0.1133  1 Li 1.88
9 N 0.3671 0.2500 0.5882  1 Pu 2.07
10 N 0.6329 0.7500 0.4118  1 Pu 2.07
11 N 0.6370 0.7500 0.8867  1 Li 1.88
12 N 0.9809 0.2500 0.7894  3 Li 1.97-2.05, 1 Pu 2.04

***

(8)
The following is a PBE-GGA calculation of LiCaHoGe after structural relaxation, from Alexandria.

As for the space group: F-43m. Its crystal system is cubic. As for the formation energy: -0.362 eV/atom.

a = 5.0794 Å, b = 5.0794 Å, c = 5.0794 Å
α = 60.00°, β = 60.00°, γ = 60.00°
Closest atoms and distances in Å follow each position.
Fractional coordinates of all 4 atoms:
1 Li 0.0000 0.0000 0.0000  4 Ca 3.11, 4 Ho 3.11
2 Ca 0.7500 0.7500 0.7500  4 Ge 3.11, 4 Li 3.11
3 Ho 0.2500 0.2500 0.2500  4 Ge 3.11, 4 Li 3.11
4 Ge 0.5000 0.5000 0.5000  4 Ca 3.11, 4 Ho 3.11

***

(9)
The following is a PBE-GGA calculation of Pr3NdTh2N6 after structural relaxation, from Alexandria.

As for the space group: C2/m. The formation energy (no corrections) is -1.463 eV/atom. Its crystal system is monoclinic.

a = 6.3668 Å, b = 6.3668 Å, c = 6.3622 Å
α = 99.59°, β = 99.59°, γ = 119.99°
Closest atoms and distances in Å follow each position.
Fractional coordinates of all 12 atoms:
1 Pr 0.0000 0.0000 0.0000  6 N 2.60-2.67
2 Pr 0.3345 0.6655 0.0000  6 N 2.61-2.67
3 Pr 0.6655 0.3345 0.0000  6 N 2.61-2.67
4 Nd 0.5000 0.5000 0.5000  6 N 2.60
5 Th 0.1669 0.8331 0.5000  6 N 2.53
6 Th 0.8331 0.1669 0.5000  6 N 2.53
7 N 0.0788 0.4212 0.2636  2 Th 2.53, 1 Nd 2.60, 3 Pr 2.61-2.67
8 N 0.2360 0.2360 0.7362  2 Th 2.53, 3 Pr 2.60-2.66, 1 Nd 2.60
9 N 0.4212 0.0788 0.2636  2 Th 2.53, 1 Nd 2.60, 3 Pr 2.61-2.67
10 N 0.5788 0.9212 0.7364  2 Th 2.53, 1 Nd 2.60, 3 Pr 2.61-2.67
11 N 0.7640 0.7640 0.2638  2 Th 2.53, 3 Pr 2.60-2.66, 1 Nd 2.60
12 N 0.9212 0.5788 0.7364  2 Th 2.53, 1 Nd 2.60, 3 Pr 2.61-2.67

***

(10)
The following is a PBE-GGA calculation of MgTi2Cd after structural relaxation, from Alexandria.

As for the space group: Fm-3m. Its crystal system is cubic. As for the excess energy over the best structure of this formula in the dataset: 0.203 eV/atom. As for the formation energy: 0.168 eV/atom.

a = 4.7339 Å, b = 4.7339 Å, c = 4.7339 Å
α = 60.00°, β = 60.00°, γ = 60.00°
Closest atoms and distances in Å follow each position.
Fractional coordinates of all 4 atoms:
1 Mg 0.0000 0.0000 0.0000  8 Ti 2.90
2 Ti 0.2500 0.2500 0.2500  4 Cd 2.90, 4 Mg 2.90
3 Ti 0.7500 0.7500 0.7500  4 Cd 2.90, 4 Mg 2.90
4 Cd 0.5000 0.5000 0.5000  8 Ti 2.90

***

(11)
The following is a PBE-GGA calculation of La4GeBiBr2 after structural relaxation, from Alexandria.

As for the space group: P2/m. The formation energy (no corrections) is -1.214 eV/atom. Its crystal system is monoclinic.

a = 7.5448 Å, b = 4.5065 Å, c = 8.0330 Å
α = 90.00°, β = 109.86°, γ = 90.00°
Closest atoms and distances in Å follow each position.
Fractional coordinates of all 8 atoms:
1 La 0.2297 0.0000 0.2218  2 Ge 3.03, 3 Br 3.13-3.34, 1 Bi 3.26
2 La 0.2440 0.5000 0.7734  1 Ge 3.00, 2 Br 3.12, 2 Bi 3.25
3 La 0.7560 0.5000 0.2266  1 Ge 3.00, 2 Br 3.12, 2 Bi 3.25
4 La 0.7703 0.0000 0.7782  2 Ge 3.03, 3 Br 3.13-3.34, 1 Bi 3.26
5 Ge 0.0000 0.5000 0.0000  6 La 3.00-3.03
6 Bi 0.0000 0.0000 0.5000  6 La 3.25-3.26
7 Br 0.5000 0.0000 0.0000  6 La 3.12-3.13
8 Br 0.5000 0.5000 0.5000  6 La 3.34-3.38

***

(12)
The following is a PBE-GGA calculation of BeTl2SnH after structural relaxation, from Alexandria.

As for the space group: P4/mmm. Its crystal system is tetragonal.

a = 5.7189 Å, b = 5.7189 Å, c = 3.1784 Å
α = 90.00°, β = 90.00°, γ = 90.00°
Closest atoms and distances in Å follow each position.
Fractional coordinates of all 5 atoms:
1 Be 0.0000 0.0000 0.0000  2 H 1.59
2 Tl 0.0000 0.5000 0.0000  2 Be 2.86, 2 Tl 3.18
3 Tl 0.5000 0.0000 0.0000  2 Be 2.86, 2 Tl 3.18
4 Sn 0.5000 0.5000 0.5000  2 Sn 3.18, 8 Tl 3.27
5 H 0.0000 0.0000 0.5000  2 Be 1.59

***

So what do the calculations give for VASP energy? Going down the list: -5.8929 -2.9363 -4.9583 -3.6340 -3.4503 -4.1534 -8.6530 -3.6396 -8.4548 -4.4068 -5.1581 -2.7804 eV/atom.
So what do the calculations give for N(E_F)? Going down the list: 0.9645 0.7499 0.6128 0.3770 0.5774 0.9674 0.9498 0.5779 0.1627 0.4433 0.5664 0.5607 states/eV/atom.